Record 1
Here is crystalline BaAl8ZnAg2 at its relaxed geometry from Alexandria via LeMat-Bulk. Energies are from PBE.

Lattice parameters (Å, degrees): 5.6442 5.6442 26.1568 90.00 90.00 120.00
Space group R-3 (No. 148, hexagonal axes)
Symmetry-distinct sites (fractional):
Ba1 0.0000 0.0000 0.0000 [3 per cell]
Al1 0.0000 0.0000 0.3988 [6 per cell]
Al2 0.0111 0.5709 0.5481 [18 per cell]
Zn1 0.0000 0.0000 0.5000 [3 per cell]
Ag1 0.0000 0.0000 0.2943 [6 per cell]

Properties
**Formation energy from the elements**: -0.0128 eV per atom
**M_tot**: 0.00 μB/f.u.
**Density of states at the Fermi level**: 0.483 states/eV per atom



Record 2
Here is crystalline Ba2Al3Zn4Ag at its relaxed geometry from Alexandria via LeMat-Bulk. Energies are from PBE.

Lattice parameters (Å, degrees): 4.691 4.691 10.566 90.00 90.00 90.00
Space group P-4m2 (No. 115)
Symmetry-distinct sites (fractional):
Ba1 0.000 0.500 0.247 [2 per cell]
Al1 0.000 0.500 0.877 [2 per cell]
Al2 0.500 0.500 0.500 [1 per cell]
Zn1 0.000 0.000 0.000 [1 per cell]
Zn2 0.000 0.500 0.626 [2 per cell]
Zn3 0.500 0.500 0.000 [1 per cell]
Ag1 0.000 0.000 0.500 [1 per cell]

Properties
**Formation energy from the elements**: -0.1957 eV per atom
**M_tot**: 0.00 μB/f.u.
**Density of states at the Fermi level**: 0.509 states/eV per atom



Record 3
Here is crystalline BaAlZnAg6 at its relaxed geometry from Alexandria via LeMat-Bulk. Energies are from PBE.

Lattice parameters (Å, degrees): 7.260 8.803 14.543 90.00 90.00 90.00
Space group Imma (No. 74)
Symmetry-distinct sites (fractional):
Ba1 0.000 0.250 0.103 [4 per cell]
Al1 0.000 0.000 0.500 [4 per cell]
Zn1 0.250 0.250 0.750 [4 per cell]
Ag1 0.000 0.250 0.397 [4 per cell]
Ag2 0.000 0.250 0.876 [4 per cell]
Ag3 0.198 0.020 0.649 [16 per cell]

Properties
**Formation energy from the elements**: 0.1416 eV per atom
**M_tot**: 0.00 μB/f.u.
**Density of states at the Fermi level**: 0.326 states/eV per atom



Record 4
Here is crystalline BaAlZnAg3 at its relaxed geometry from Alexandria via LeMat-Bulk. Energies are from PBE.

Lattice parameters (Å, degrees): 6.973 13.090 6.486 90.00 90.00 90.00
Space group Cmcm (No. 63)
Symmetry-distinct sites (fractional):
Ba1 0.000 0.222 0.250 [4 per cell]
Al1 0.000 0.483 0.250 [4 per cell]
Zn1 0.000 0.120 0.750 [4 per cell]
Ag1 0.000 0.321 0.750 [4 per cell]
Ag2 0.208 0.000 0.000 [8 per cell]

Properties
**Formation energy from the elements**: -0.0844 eV per atom
**M_tot**: 0.00 μB/f.u.
**Density of states at the Fermi level**: 0.412 states/eV per atom



What is the formation energy from the elements in the second record?
-0.1957 eV per atom